(1)
YCuOs2 | meta-GGA SCAN | single point on PBEsol structure

Unit cell a=2.9986 b=4.5857 c=9.3754 alpha=90.00 beta=90.00 gamma=90.00
Space group Imm2 (No. 44)
One atom of each set of equivalent atoms:
Y (0.0000, 0.0000, 0.0000) (multiplicity 2)
Cu (0.0000, 0.5000, 0.7727) (multiplicity 2)
Os (0.0000, 0.0000, 0.5040) (multiplicity 2)
Os (0.0000, 0.5000, 0.2288) (multiplicity 2)

Output
Density of states at the Fermi level in states/eV per atom: 0.708
E above lowest polymorph in meV/atom: 0
Energy of formation from the pure elements in eV/atom: 0.33

(2)
LiCa2Cd | meta-GGA SCAN | single point on PBEsol structure

Unit cell a=3.7374 b=3.7374 c=8.0879 alpha=90.00 beta=90.00 gamma=90.00
Space group P4mm (No. 99)
One atom of each set of equivalent atoms:
Li (0.0000, 0.0000, 0.0000) (multiplicity 1)
Ca (0.0000, 0.0000, 0.6078) (multiplicity 1)
Ca (0.5000, 0.5000, 0.2566) (multiplicity 1)
Cd (0.5000, 0.5000, 0.8454) (multiplicity 1)

Output
Density of states at the Fermi level in states/eV per atom: 0.709
E above lowest polymorph in meV/atom: 46
Energy of formation from the pure elements in eV/atom: -0.19

(3)
Mg3As2O8 | meta-GGA SCAN | single point on PBEsol structure

Unit cell a=6.5537 b=8.8720 c=11.0212 alpha=90.00 beta=92.81 gamma=90.00
Space group P2_1/c (No. 14)
One atom of each set of equivalent atoms:
Mg (0.0860, 0.2039, 0.0747) (multiplicity 4)
Mg (0.2389, 0.6510, 0.6364) (multiplicity 4)
Mg (0.3869, 0.0374, 0.6226) (multiplicity 4)
As (0.1036, 0.0564, 0.3566) (multiplicity 4)
As (0.4103, 0.6149, 0.3599) (multiplicity 4)
O (0.0431, 0.2366, 0.3957) (multiplicity 4)
O (0.0783, 0.0774, 0.6177) (multiplicity 4)
O (0.1272, 0.0442, 0.2027) (multiplicity 4)
O (0.2121, 0.6257, 0.4567) (multiplicity 4)
O (0.3229, 0.6623, 0.2162) (multiplicity 4)
O (0.3266, 0.5013, 0.9292) (multiplicity 4)
O (0.3993, 0.2339, 0.0889) (multiplicity 4)
O (0.4786, 0.0660, 0.8323) (multiplicity 4)

Output
Density of states at the Fermi level in states/eV per atom: 0.000
Uncorrected formation energy in meV/atom: -2238

(4)
HgTe2Rh | meta-GGA SCAN | single point on PBEsol structure

Unit cell a=3.4485 b=4.5326 c=11.8450 alpha=90.00 beta=90.00 gamma=90.00
Space group Immm (No. 71)
One atom of each set of equivalent atoms:
Hg (0.0000, 0.0000, 0.0000) (multiplicity 2)
Te (0.0000, 0.5000, 0.1719) (multiplicity 4)
Rh (0.0000, 0.0000, 0.5000) (multiplicity 2)

Output
Density of states at the Fermi level in states/eV per atom: 0.483
E above lowest polymorph in meV/atom: 266
Uncorrected formation energy in meV/atom: -69

(5)
Ga3BSb | meta-GGA SCAN | single point on PBEsol structure

Unit cell a=5.2634 b=5.2634 c=5.2634 alpha=90.00 beta=90.00 gamma=90.00
Space group Pm-3m (No. 221)
One atom of each set of equivalent atoms:
Ga (0.0000, 0.0000, 0.5000) (multiplicity 3)
B (0.5000, 0.5000, 0.5000) (multiplicity 1)
Sb (0.0000, 0.0000, 0.0000) (multiplicity 1)

Output
Density of states at the Fermi level in states/eV per atom: 0.665
Uncorrected formation energy in meV/atom: 1618

(6)
AlSe | meta-GGA SCAN | single point on PBEsol structure

Unit cell a=3.7872 b=11.1849 c=3.6164 alpha=90.00 beta=90.00 gamma=90.00
Space group Cmcm (No. 63)
One atom of each set of equivalent atoms:
Al (0.0000, 0.1119, 0.2500) (multiplicity 4)
Se (0.0000, 0.3503, 0.2500) (multiplicity 4)

Output
Density of states at the Fermi level in states/eV per atom: 0.459
Uncorrected formation energy in meV/atom: -358

(7)
Ba2HgBiP | meta-GGA SCAN | single point on PBEsol structure

Unit cell a=6.3134 b=6.3134 c=5.2989 alpha=90.00 beta=90.00 gamma=90.00
Space group P4/mmm (No. 123)
One atom of each set of equivalent atoms:
Ba (0.0000, 0.5000, 0.0000) (multiplicity 2)
Hg (0.0000, 0.0000, 0.0000) (multiplicity 1)
Bi (0.0000, 0.0000, 0.5000) (multiplicity 1)
P (0.5000, 0.5000, 0.5000) (multiplicity 1)

Output
Density of states at the Fermi level in states/eV per atom: 0.964
Energy of formation from the pure elements in eV/atom: -0.05

(8)
BaScCl2 | meta-GGA SCAN | single point on PBEsol structure

Unit cell a=7.5831 b=7.5831 c=7.5831 alpha=90.00 beta=90.00 gamma=90.00
Space group F-43m (No. 216)
One atom of each set of equivalent atoms:
Ba (0.0000, 0.0000, 0.0000) (multiplicity 4)
Sc (0.2500, 0.2500, 0.7500) (multiplicity 4)
Cl (0.0000, 0.0000, 0.5000) (multiplicity 4)
Cl (0.2500, 0.2500, 0.2500) (multiplicity 4)

Output
Density of states at the Fermi level in states/eV per atom: 1.870
E above lowest polymorph in meV/atom: 860
Uncorrected formation energy in meV/atom: -700

(9)
GdPO4 | meta-GGA SCAN | single point on PBEsol structure

Unit cell a=6.9651 b=6.9651 c=6.0825 alpha=90.00 beta=90.00 gamma=90.00
Space group I4_1/amd (No. 141, origin choice 2)
One atom of each set of equivalent atoms:
Gd (0.0000, 0.2500, 0.3750) (multiplicity 4)
P (0.0000, 0.2500, 0.8750) (multiplicity 4)
O (0.0000, 0.0757, 0.7167) (multiplicity 16)

Output
Density of states at the Fermi level in states/eV per atom: 0.000
Uncorrected formation energy in meV/atom: -3290

(10)
MgFe2Sn2 | meta-GGA SCAN | single point on PBEsol structure

Unit cell a=4.3565 b=4.3565 c=9.6469 alpha=90.00 beta=90.00 gamma=90.00
Space group I4/mmm (No. 139)
One atom of each set of equivalent atoms:
Mg (0.0000, 0.0000, 0.0000) (multiplicity 2)
Fe (0.0000, 0.0000, 0.3946) (multiplicity 4)
Sn (0.0000, 0.5000, 0.2500) (multiplicity 4)

Output
Density of states at the Fermi level in states/eV per atom: 0.594
Energy of formation from the pure elements in eV/atom: 0.43

(11)
ZrTc2Ru | meta-GGA SCAN | single point on PBEsol structure

Unit cell a=3.1247 b=3.1247 c=6.3325 alpha=90.00 beta=90.00 gamma=90.00
Space group P4mm (No. 99)
One atom of each set of equivalent atoms:
Zr (0.0000, 0.0000, 0.0000) (multiplicity 1)
Tc (0.0000, 0.0000, 0.5086) (multiplicity 1)
Tc (0.5000, 0.5000, 0.7255) (multiplicity 1)
Ru (0.5000, 0.5000, 0.2421) (multiplicity 1)

Output
Density of states at the Fermi level in states/eV per atom: 1.005
E above lowest polymorph in meV/atom: 0
Energy of formation from the pure elements in eV/atom: -0.10

(12)
SrMg2PtSe | meta-GGA SCAN | single point on PBEsol structure

Unit cell a=6.0379 b=6.0379 c=5.0377 alpha=90.00 beta=90.00 gamma=90.00
Space group P4/mmm (No. 123)
One atom of each set of equivalent atoms:
Sr (0.0000, 0.0000, 0.0000) (multiplicity 1)
Mg (0.0000, 0.5000, 0.0000) (multiplicity 2)
Pt (0.0000, 0.0000, 0.5000) (multiplicity 1)
Se (0.5000, 0.5000, 0.5000) (multiplicity 1)

Output
Density of states at the Fermi level in states/eV per atom: 1.131
Uncorrected formation energy in meV/atom: 1144